Record 1
Compound: La2YEr
Source: Alexandria via LeMat-Bulk
Functional: PBE-GGA
Structure: optimized geometry

Cell: 5.8041 5.8041 5.8041 Å, 60.00 60.00 60.00°
Closest atoms and distances in Å follow each position.
Atoms (fractional coordinates):
Er 0.0000 0.0000 0.0000  8 La 3.55
La 0.7500 0.7500 0.7500  4 Er 3.55, 4 Y 3.55
Y 0.5000 0.5000 0.5000  8 La 3.55
La 0.2500 0.2500 0.2500  4 Er 3.55, 4 Y 3.55

Properties
The value obtained for the total energy is -0.378 Ry per atom. For the formation energy, the calculation gives 0.077 eV per atom.

---

Record 2
Compound: La4Y2Er
Source: Alexandria via LeMat-Bulk
Functional: PBE-GGA
Structure: optimized geometry

Cell: 6.9757 9.1189 9.1189 Å, 78.80 67.51 67.51°
Closest atoms and distances in Å follow each position.
Atoms (fractional coordinates):
La 0.8487 0.1536 0.1490  1 Y 3.36, 2 Er 3.57, 3 La 3.71-3.74
La 0.1513 0.8464 0.8510  1 Y 3.36, 2 Er 3.57, 3 La 3.71-3.74
Y 0.5000 0.5000 0.5000  4 La 3.51, 2 Y 3.90
La 0.7896 0.2438 0.7438  1 La 3.02, 1 Er 3.15, 1 Y 3.22
La 0.2104 0.7562 0.2562  1 La 3.02, 1 Er 3.15, 1 Y 3.22
Y 0.5000 0.0000 0.0000  4 La 3.51, 2 Y 3.90
La 0.2228 0.2438 0.7438  1 La 3.02, 1 Er 3.15, 1 Y 3.22
La 0.7772 0.7562 0.2562  1 La 3.02, 1 Er 3.15, 1 Y 3.22
Er 0.5000 0.5000 0.0000  2 La 3.15, 2 Er 3.49
Er 0.0000 0.5000 0.0000  2 La 3.15, 2 Er 3.49
Y 0.2862 0.9638 0.4638  4 La 3.22-3.36, 2 Y 3.60
Y 0.7138 0.0362 0.5362  4 La 3.22-3.36, 2 Y 3.60
La 0.1513 0.3510 0.3464  1 Y 3.36, 2 Er 3.57, 3 La 3.71-3.74
La 0.8487 0.6490 0.6536  1 Y 3.36, 2 Er 3.57, 3 La 3.71-3.74

Properties
The value obtained for the total energy is -0.374 Ry per atom. For the formation energy, the calculation gives 0.220 eV per atom.

---

Record 3
Compound: La3Y2Er8
Source: Alexandria via LeMat-Bulk
Functional: PBE-GGA
Structure: optimized geometry

Cell: 5.6244 7.7400 10.7853 Å, 111.03 90.02 90.00°
Closest atoms and distances in Å follow each position.
Atoms (fractional coordinates):
Er 0.0006 0.6720 0.3440  2 Y 3.32, 4 Er 3.47
Er 0.5002 0.4025 0.2195  1 La 3.16, 3 Er 3.21-3.47, 2 Y 3.41-3.47
Y 0.4993 0.2405 0.4810  8 Er 3.32-3.51
Er 0.4998 0.1830 0.7805  1 La 3.17, 3 Er 3.21-3.47, 2 Y 3.41-3.47
La 0.5000 0.0000 0.0000  4 Er 3.16-3.17
La 0.0000 0.7001 0.0000  1 La 3.10
Y 0.5007 0.7595 0.5190  8 Er 3.32-3.51
La 0.0000 0.2999 0.0000  1 La 3.10
Er 0.5002 0.8170 0.2195  1 La 3.17, 3 Er 3.21-3.47, 2 Y 3.41-3.47
Er 0.4998 0.5975 0.7805  1 La 3.16, 3 Er 3.21-3.47, 2 Y 3.41-3.47
Er 0.9994 0.3280 0.6560  2 Y 3.32, 4 Er 3.47
Er 0.9997 0.1361 0.2723  2 Y 3.51, 4 La 3.59-3.93, 5 Er 3.65-3.86
Er 0.0003 0.8639 0.7277  2 Y 3.51, 4 La 3.59-3.93, 5 Er 3.65-3.86

Properties
The value obtained for the total energy is -0.344 Ry per atom. For the formation energy, the calculation gives 0.258 eV per atom.

---

Record 4
Compound: LaY15Er4
Source: Alexandria via LeMat-Bulk
Functional: PBE-GGA
Structure: optimized geometry

Cell: 5.0451 5.0451 25.2632 Å, 90.00 90.00 90.00°
Closest atoms and distances in Å follow each position.
Atoms (fractional coordinates):
Er 0.0000 0.0000 0.4007  12 Y 3.56-3.57
Y 0.5000 0.0000 0.1030  2 Er 3.55, 8 Y 3.56-3.62, 2 La 3.62
Y 0.5000 0.0000 0.6987  8 Y 3.55-3.57, 4 Er 3.56
Y 0.5000 0.5000 0.5994  8 Y 3.56, 4 Er 3.57
Y 0.5000 0.5000 0.2026  8 Y 3.55-3.56, 4 Er 3.57
Y 0.5000 0.5000 0.7974  8 Y 3.55-3.56, 4 Er 3.57
Er 0.0000 0.0000 0.7984  12 Y 3.55-3.57
Y 0.0000 0.5000 0.6987  8 Y 3.55-3.57, 4 Er 3.56
Y 0.0000 0.5000 0.1030  2 Er 3.55, 8 Y 3.56-3.62, 2 La 3.62
Y 0.5000 0.0000 0.3013  8 Y 3.55-3.57, 4 Er 3.56
Y 0.5000 0.5000 0.4006  8 Y 3.56, 4 Er 3.57
Y 0.0000 0.5000 0.5000  4 Er 3.56, 8 Y 3.56-3.57
Y 0.5000 0.5000 0.0000  4 La 3.57, 8 Y 3.62
Er 0.0000 0.0000 0.2016  12 Y 3.55-3.57
Y 0.5000 0.0000 0.8970  2 Er 3.55, 8 Y 3.56-3.62, 2 La 3.62
La 0.0000 0.0000 0.0000  12 Y 3.57-3.62
Y 0.0000 0.5000 0.8970  2 Er 3.55, 8 Y 3.56-3.62, 2 La 3.62
Er 0.0000 0.0000 0.5993  12 Y 3.56-3.57
Y 0.0000 0.5000 0.3013  8 Y 3.55-3.57, 4 Er 3.56
Y 0.5000 0.0000 0.5000  4 Er 3.56, 8 Y 3.56-3.57

Properties
The value obtained for the total energy is -0.439 Ry per atom. For the formation energy, the calculation gives 0.028 eV per atom.

---

Record 5
Compound: La4YEr
Source: Alexandria via LeMat-Bulk
Functional: PBE-GGA
Structure: optimized geometry

Cell: 6.0483 6.4951 7.0530 Å, 92.74 64.61 62.25°
Closest atoms and distances in Å follow each position.
Atoms (fractional coordinates):
Y 0.5000 0.5000 0.5000  8 La 3.55-3.89, 2 Er 3.57
La 0.8565 0.8139 0.4730  1 Er 3.50, 6 La 3.52-3.73, 3 Y 3.55-3.89
La 0.1435 0.1861 0.5270  1 Er 3.50, 6 La 3.52-3.73, 3 Y 3.55-3.89
La 0.3503 0.3093 0.9901  6 La 3.52-3.71, 2 Er 3.52, 1 Y 3.62
La 0.6497 0.6907 0.0099  6 La 3.52-3.71, 2 Er 3.52, 1 Y 3.62
Er 0.0000 0.0000 0.0000  6 La 3.50-3.52, 2 Y 3.57

Properties
The value obtained for the total energy is -0.369 Ry per atom. For the formation energy, the calculation gives 0.104 eV per atom.

---

Record 6
Compound: LaY2Er8
Source: Alexandria via LeMat-Bulk
Functional: PBE-GGA
Structure: optimized geometry

Cell: 5.9048 9.2648 9.7475 Å, 61.63 72.39 50.45°
Closest atoms and distances in Å follow each position.
Atoms (fractional coordinates):
Er 0.5000 0.2014 0.5972  6 Er 3.44-3.59, 1 La 3.45, 4 Y 3.51-3.58
Er 0.2304 0.6369 0.2640  6 Er 3.30-3.59, 3 Y 3.50-3.66
Er 0.2441 0.4986 0.0000  2 Er 2.87-3.04
Er 0.2304 0.9009 0.7360  6 Er 3.30-3.59, 3 Y 3.50-3.66
Y 0.0000 0.6882 0.6235  12 Er 3.50-3.66
Er 0.5000 0.7986 0.4028  6 Er 3.44-3.59, 1 La 3.45, 4 Y 3.51-3.58
Er 0.7559 0.5014 0.0000  2 Er 2.87-3.04
Er 0.7696 0.3631 0.7360  6 Er 3.30-3.59, 3 Y 3.50-3.66
Er 0.7696 0.0991 0.2640  6 Er 3.30-3.59, 3 Y 3.50-3.66
Y 0.0000 0.3118 0.3765  12 Er 3.50-3.66
La 0.5000 0.0000 0.0000  6 Er 3.45-3.86

Properties
The value obtained for the total energy is -0.352 Ry per atom. For the formation energy, the calculation gives 0.150 eV per atom.